[1]
Density functional theory data (meta-GGA SCAN) for a PBEsol-optimized structure of Al6Ag.

a b c (Å): 4.051 4.907 6.425
angles (deg): 97.03 89.50 115.63
Element x y z (fractional)
Ag 0.000 0.000 0.000
Al 0.146 0.290 0.426
Al 0.718 0.435 0.144
Al 0.854 0.710 0.574
Al 0.569 0.138 0.710
Al 0.431 0.862 0.290
Al 0.282 0.565 0.856

Summary:
- Symmetry: P-1, No. 2
- Calculated total energy: -11.125 eV per atom
- Energy above the lowest structure with this stoichiometry: 0.033 eV per atom
- DFT formation energy: 0.0 eV per formula unit


[2]
Density functional theory data (meta-GGA SCAN) for a PBEsol-optimized structure of Al3Ag5.

a b c (Å): 4.011 5.628 6.329
angles (deg): 116.40 90.00 90.00
Element x y z (fractional)
Ag 0.000 0.255 0.248
Ag 0.000 0.007 0.752
Al 0.000 0.761 0.258
Ag 0.500 0.847 0.000
Ag 0.500 0.629 0.489
Al 0.500 0.358 0.000
Al 0.000 0.503 0.742
Ag 0.500 0.140 0.511

Summary:
- Symmetry: Amm2, No. 38
- Calculated total energy: -22.614 eV per atom
- Energy above the lowest structure with this stoichiometry: 0.010 eV per atom
- DFT formation energy: -0.8 eV per formula unit


[3]
Density functional theory data (meta-GGA SCAN) for a PBEsol-optimized structure of Al5Ag3.

a b c (Å): 2.937 6.848 6.848
angles (deg): 109.50 90.00 90.00
Element x y z (fractional)
Al 0.500 0.125 0.371
Al 0.000 0.500 0.500
Al 0.500 0.371 0.125
Ag 0.000 0.255 0.745
Al 0.500 0.629 0.875
Ag 0.000 0.745 0.255
Ag 0.000 0.000 0.000
Al 0.500 0.875 0.629

Summary:
- Symmetry: Cmmm, No. 65
- Calculated total energy: -16.654 eV per atom
- Energy above the lowest structure with this stoichiometry: 0.026 eV per atom
- DFT formation energy: -0.4 eV per formula unit


[4]
Density functional theory data (meta-GGA SCAN) for a PBEsol-optimized structure of AlAg2.

a b c (Å): 2.939 4.815 6.995
angles (deg): 102.84 90.00 90.00
Element x y z (fractional)
Ag 0.500 0.500 0.500
Ag 0.000 0.000 0.500
Ag 0.000 0.243 0.155
Al 0.500 0.255 0.824
Al 0.500 0.745 0.176
Ag 0.000 0.757 0.845

Summary:
- Symmetry: P2/m, No. 10
- Calculated total energy: -23.600 eV per atom
- DFT formation energy: -0.3 eV per formula unit


[5]
Density functional theory data (meta-GGA SCAN) for a PBEsol-optimized structure of AlAg2.

a b c (Å): 5.105 5.105 5.105
angles (deg): 105.21 105.21 118.37
Element x y z (fractional)
Ag 0.838 0.338 0.177
Ag 0.662 0.838 0.500
Ag 0.338 0.162 0.500
Ag 0.162 0.662 0.823
Al 0.250 0.250 0.000
Al 0.750 0.750 0.000

Summary:
- Symmetry: I4/mcm, No. 140
- Calculated total energy: -23.506 eV per atom
- DFT formation energy: 0.0 eV per formula unit


[6]
Density functional theory data (meta-GGA SCAN) for a PBEsol-optimized structure of Al2Ag5.

a b c (Å): 4.099 4.850 6.352
angles (deg): 98.70 90.00 115.00
Element x y z (fractional)
Ag 0.426 0.852 0.271
Ag 0.574 0.148 0.729
Ag 0.000 0.000 0.000
Ag 0.144 0.288 0.431
Ag 0.856 0.712 0.569
Al 0.284 0.569 0.845
Al 0.716 0.431 0.155

Summary:
- Symmetry: C2/m, No. 12
- Calculated total energy: -24.713 eV per atom
- Energy above the lowest structure with this stoichiometry: 0.004 eV per atom
- DFT formation energy: -0.7 eV per formula unit